A plane-wave DFT calculation with GGA-PBE was carried out for crystalline ZnRuRh2 at its relaxed geometry.

## Properties
The magnetization comes out at 0.30 μB/f.u. Its density of states at the Fermi level is 5.09 states/eV per cell. The calculation puts the uncorrected energy at -6.324 eV per atom.

Cell: 8.814 8.814 8.814 Å, 17.89 17.89 17.89°
Sites, in units of the cell vectors:
Zn  0.000  0.000  0.000
Ru  0.249  0.249  0.249
Rh  0.501  0.501  0.501
Rh  0.748  0.748  0.748

=====

A plane-wave DFT calculation with GGA-PBE was carried out for crystalline ZnRuRh2 at its relaxed geometry.

## Properties
The magnetization comes out at 0.00 μB/f.u. Its density of states at the Fermi level is 5.50 states/eV per cell. The calculation puts the uncorrected energy at -6.380 eV per atom.

Cell: 4.702 4.702 4.702 Å, 132.16 132.16 69.97°
Sites, in units of the cell vectors:
Zn  0.000  0.000  0.000
Ru  0.500  0.500  0.000
Rh  0.250  0.750  0.500
Rh  0.750  0.250  0.500

=====

A plane-wave DFT calculation with GGA-PBE was carried out for crystalline ZnRuRh2 at its relaxed geometry.

## Properties
The magnetization comes out at 0.00 μB/f.u. Its density of states at the Fermi level is 5.67 states/eV per cell. The calculation puts the uncorrected energy at -6.332 eV per atom.

Cell: 2.746 3.801 5.396 Å, 90.00 90.00 90.00°
Sites, in units of the cell vectors:
Zn  0.000  0.000  0.000
Ru  0.500  0.500  0.734
Rh  0.000  0.000  0.505
Rh  0.500  0.500  0.231